1.
The following is a GGA-PBE calculation of an optimized crystal structure of HgAsSe, from the Alexandria database.

Computed properties:
DOS(E_F) ... 0.79 states/eV per cell
E_tot ... -0.206 Ry/atom
ΔE_f (raw) ... 0.009 eV/atom
Total magnetization ... 0.00 μB per cell

CIF file:
```
data_HgAsSe
_cell_length_a 3.614
_cell_length_b 6.401
_cell_length_c 7.861
_cell_angle_alpha 100.34
_cell_angle_beta 103.26
_cell_angle_gamma 90.09
_space_group_name_H-M_alt 'P -1'
_space_group_IT_number 2
loop_
_space_group_symop_operation_xyz
'x,y,z'
'-x,-y,-z'
loop_
_atom_site_label
_atom_site_type_symbol
_atom_site_fract_x
_atom_site_fract_y
_atom_site_fract_z
Hg1 Hg 0.062 0.188 0.123
As1 As 0.182 0.548 0.363
Se1 Se 0.372 0.242 0.746
```


2.
The following is a GGA-PBE calculation of an optimized crystal structure of HgAs2Se, from the Alexandria database.

Computed properties:
DOS(E_F) ... 1.15 states/eV per cell
E_tot ... -0.217 Ry/atom
ΔE_f (raw) ... 0.321 eV/atom
Total magnetization ... 0.00 μB per cell

CIF file:
```
data_HgAs2Se
_cell_length_a 3.761
_cell_length_b 3.761
_cell_length_c 7.765
_cell_angle_alpha 90.00
_cell_angle_beta 90.00
_cell_angle_gamma 90.00
_space_group_name_H-M_alt 'P 4/m m m'
_space_group_IT_number 123
_space_group_name_Hall '-P 4 2'
loop_
_atom_site_label
_atom_site_type_symbol
_atom_site_fract_x
_atom_site_fract_y
_atom_site_fract_z
Hg1 Hg 0.000 0.000 0.000
As1 As 0.500 0.500 0.348
Se1 Se 0.000 0.000 0.500
```


3.
The following is a GGA-PBE calculation of an optimized crystal structure of HgAs2Se, from the Alexandria database.

Computed properties:
DOS(E_F) ... 5.18 states/eV per cell
E_tot ... -0.212 Ry/atom
ΔE_f (raw) ... 0.391 eV/atom
Total magnetization ... 0.00 μB per cell

CIF file:
```
data_HgAs2Se
_cell_length_a 3.474
_cell_length_b 5.747
_cell_length_c 8.886
_cell_angle_alpha 90.00
_cell_angle_beta 90.00
_cell_angle_gamma 90.00
_space_group_name_H-M_alt 'I m m m'
_space_group_IT_number 71
_space_group_name_Hall '-I 2 2'
loop_
_atom_site_label
_atom_site_type_symbol
_atom_site_fract_x
_atom_site_fract_y
_atom_site_fract_z
Hg1 Hg 0.000 0.000 0.000
As1 As 0.000 0.500 0.230
Se1 Se 0.000 0.000 0.500
```


4.
The following is a GGA-PBE calculation of an optimized crystal structure of HgAsSe, from the Alexandria database.

Computed properties:
DOS(E_F) ... 1.65 states/eV per cell
E_tot ... -0.196 Ry/atom
ΔE_f (raw) ... 0.140 eV/atom
Total magnetization ... 0.00 μB per cell

CIF file:
```
data_HgAsSe
_cell_length_a 3.8176
_cell_length_b 3.8176
_cell_length_c 5.5877
_cell_angle_alpha 90.00
_cell_angle_beta 90.00
_cell_angle_gamma 120.00
_space_group_name_H-M_alt 'P 3 m 1'
_space_group_IT_number 156
loop_
_space_group_symop_operation_xyz
'x,y,z'
'-y,x-y,z'
'-x+y,-x,z'
'-y,-x,z'
'-x+y,y,z'
'x,x-y,z'
loop_
_atom_site_label
_atom_site_type_symbol
_atom_site_fract_x
_atom_site_fract_y
_atom_site_fract_z
Hg1 Hg 0.0000 0.0000 0.0000
As1 As 0.3333 0.6667 0.6577
Se1 Se 0.6667 0.3333 0.3725
```


5.
The following is a GGA-PBE calculation of an optimized crystal structure of HgAsSe, from the Alexandria database.

Computed properties:
DOS(E_F) ... 2.25 states/eV per cell
E_tot ... -0.184 Ry/atom
ΔE_f (raw) ... 0.302 eV/atom
Total magnetization ... 0.00 μB per cell

CIF file:
```
data_HgAsSe
_cell_length_a 5.2667
_cell_length_b 5.2667
_cell_length_c 2.8616
_cell_angle_alpha 90.00
_cell_angle_beta 90.00
_cell_angle_gamma 120.00
_space_group_name_H-M_alt 'P -6 m 2'
_space_group_IT_number 187
_space_group_name_Hall 'P -6 2'
loop_
_atom_site_label
_atom_site_type_symbol
_atom_site_fract_x
_atom_site_fract_y
_atom_site_fract_z
Hg1 Hg 0.0000 0.0000 0.0000
As1 As 0.3333 0.6667 0.0000
Se1 Se 0.6667 0.3333 0.0000
```


6.
The following is a GGA-PBE calculation of an optimized crystal structure of HgAs2Se, from the Alexandria database.

Computed properties:
DOS(E_F) ... 3.10 states/eV per cell
E_tot ... -0.214 Ry/atom
ΔE_f (raw) ... 0.361 eV/atom
Total magnetization ... 0.00 μB per cell

CIF file:
```
data_HgAs2Se
_cell_length_a 3.048
_cell_length_b 3.048
_cell_length_c 10.909
_cell_angle_alpha 90.00
_cell_angle_beta 90.00
_cell_angle_gamma 90.00
_space_group_name_H-M_alt 'P 4 m m'
_space_group_IT_number 99
loop_
_space_group_symop_operation_xyz
'x,y,z'
'-y,x,z'
'-x,-y,z'
'y,-x,z'
'-x,y,z'
'y,x,z'
'x,-y,z'
'-y,-x,z'
loop_
_atom_site_label
_atom_site_type_symbol
_atom_site_fract_x
_atom_site_fract_y
_atom_site_fract_z
Hg1 Hg 0.000 0.000 0.000
As1 As 0.000 0.000 0.555
As2 As 0.500 0.500 0.693
Se1 Se 0.500 0.500 0.274
```


7.
The following is a GGA-PBE calculation of an optimized crystal structure of HgAsSe, from the Alexandria database.

Computed properties:
DOS(E_F) ... 7.98 states/eV per cell
E_tot ... -0.194 Ry/atom
ΔE_f (raw) ... 0.178 eV/atom
Total magnetization ... 0.00 μB per cell

CIF file:
```
data_HgAsSe
_cell_length_a 3.420
_cell_length_b 6.966
_cell_length_c 15.865
_cell_angle_alpha 90.00
_cell_angle_beta 90.00
_cell_angle_gamma 90.00
_space_group_name_H-M_alt 'F m m 2'
_space_group_IT_number 42
_space_group_name_Hall 'F 2 -2'
loop_
_atom_site_label
_atom_site_type_symbol
_atom_site_fract_x
_atom_site_fract_y
_atom_site_fract_z
Hg1 Hg 0.000 0.000 0.000
As1 As 0.000 0.000 0.314
Se1 Se 0.000 0.000 0.708
```


8.
The following is a GGA-PBE calculation of an optimized crystal structure of HgAs2Se, from the Alexandria database.

Computed properties:
DOS(E_F) ... 5.67 states/eV per cell
E_tot ... -0.217 Ry/atom
ΔE_f (raw) ... 0.318 eV/atom
Total magnetization ... 0.00 μB per cell

CIF file:
```
data_HgAs2Se
_cell_length_a 5.826
_cell_length_b 5.826
_cell_length_c 13.693
_cell_angle_alpha 90.00
_cell_angle_beta 90.00
_cell_angle_gamma 90.00
_space_group_name_H-M_alt 'I -4 2 d'
_space_group_IT_number 122
_space_group_name_Hall 'I -4 2bw'
loop_
_atom_site_label
_atom_site_type_symbol
_atom_site_fract_x
_atom_site_fract_y
_atom_site_fract_z
Hg1 Hg 0.000 0.000 0.000
As1 As 0.235 0.250 0.625
Se1 Se 0.000 0.000 0.500
```


9.
The following is a GGA-PBE calculation of an optimized crystal structure of HgAs2Se, from the Alexandria database.

Computed properties:
DOS(E_F) ... 2.42 states/eV per cell
E_tot ... -0.215 Ry/atom
ΔE_f (raw) ... 0.342 eV/atom
Total magnetization ... 0.00 μB per cell

CIF file:
```
data_HgAs2Se
_cell_length_a 3.768
_cell_length_b 3.768
_cell_length_c 8.844
_cell_angle_alpha 90.00
_cell_angle_beta 90.00
_cell_angle_gamma 90.00
_space_group_name_H-M_alt 'P 4/m m m'
_space_group_IT_number 123
_space_group_name_Hall '-P 4 2'
loop_
_atom_site_label
_atom_site_type_symbol
_atom_site_fract_x
_atom_site_fract_y
_atom_site_fract_z
Hg1 Hg 0.000 0.000 0.000
As1 As 0.000 0.500 0.500
Se1 Se 0.500 0.500 0.000
```


10.
The following is a GGA-PBE calculation of an optimized crystal structure of Hg4AsSe6, from the Alexandria database.

Computed properties:
DOS(E_F) ... 5.87 states/eV per cell
E_tot ... -0.187 Ry/atom
ΔE_f (raw) ... -0.111 eV/atom
Total magnetization ... 0.00 μB per cell

CIF file:
```
data_Hg4AsSe6
_cell_length_a 13.109
_cell_length_b 7.619
_cell_length_c 13.190
_cell_angle_alpha 90.00
_cell_angle_beta 110.28
_cell_angle_gamma 90.00
_space_group_name_H-M_alt 'C 1 c 1'
_space_group_IT_number 9
loop_
_space_group_symop_operation_xyz
'x,y,z'
'x,-y,z+1/2'
'x+1/2,y+1/2,z'
'x+1/2,-y+1/2,z+1/2'
loop_
_atom_site_label
_atom_site_type_symbol
_atom_site_fract_x
_atom_site_fract_y
_atom_site_fract_z
Hg1 Hg 0.000 0.069 0.000
Hg2 Hg 0.175 0.412 0.502
Hg3 Hg 0.200 0.100 0.811
Hg4 Hg 0.383 0.195 0.164
As1 As 0.458 0.287 0.759
Se1 Se 0.066 0.226 0.619
Se2 Se 0.159 0.270 0.302
Se3 Se 0.188 0.235 0.998
Se4 Se 0.345 0.464 0.298
Se5 Se 0.372 0.218 0.571
Se6 Se 0.412 0.026 0.838
```


11.
The following is a GGA-PBE calculation of an optimized crystal structure of Hg12As5Se3, from the Alexandria database.

Computed properties:
DOS(E_F) ... 78.73 states/eV per cell
E_tot ... -0.128 Ry/atom
ΔE_f (raw) ... 0.130 eV/atom
Total magnetization ... 0.00 μB per cell

CIF file:
```
data_Hg12As5Se3
_cell_length_a 16.514
_cell_length_b 16.514
_cell_length_c 16.514
_cell_angle_alpha 90.00
_cell_angle_beta 90.00
_cell_angle_gamma 90.00
_space_group_name_H-M_alt 'I a -3 d'
_space_group_IT_number 230
_space_group_name_Hall '-I 4bd 2c 3'
loop_
_atom_site_label
_atom_site_type_symbol
_atom_site_fract_x
_atom_site_fract_y
_atom_site_fract_z
Hg1 Hg 0.035 0.079 0.645
As1 As 0.000 0.000 0.000
As2 As 0.000 0.250 0.375
Se1 Se 0.000 0.250 0.125
```


12.
The following is a GGA-PBE calculation of an optimized crystal structure of HgAs3Se, from the Alexandria database.

Computed properties:
DOS(E_F) ... 5.59 states/eV per cell
E_tot ... -0.200 Ry/atom
ΔE_f (raw) ... 0.819 eV/atom
Total magnetization ... 0.00 μB per cell

CIF file:
```
data_HgAs3Se
_cell_length_a 5.085
_cell_length_b 5.085
_cell_length_c 5.085
_cell_angle_alpha 90.00
_cell_angle_beta 90.00
_cell_angle_gamma 90.00
_space_group_name_H-M_alt 'P m -3 m'
_space_group_IT_number 221
_space_group_name_Hall '-P 4 2 3'
loop_
_atom_site_label
_atom_site_type_symbol
_atom_site_fract_x
_atom_site_fract_y
_atom_site_fract_z
Hg1 Hg 0.000 0.000 0.000
As1 As 0.000 0.500 0.500
Se1 Se 0.500 0.500 0.500
```


- What is the formula in the tenth record?
  Hg4AsSe6